The following is a DFT calculation (PBE-GGA) of an optimized crystal structure of Sm5Y12Sc2.

**Size of the total moment**: 0.000 μB per atom
**Uncorrected energy**: -111.7 eV per formula unit
**Energy relative to the elements**: 0.1144 eV/atom

```
data_Sm5Y12Sc2
_symmetry_space_group_name_H-M 'C 1 2/m 1'
_symmetry_Int_Tables_number 12
_symmetry_space_group_name_Hall '-C 2y'
_cell_length_a 15.4755
_cell_length_b 9.2804
_cell_length_c 8.6084
_cell_angle_alpha 90.00
_cell_angle_beta 92.07
_cell_angle_gamma 90.00
loop_
_atom_site_label
_atom_site_type_symbol
_atom_site_fract_x
_atom_site_fract_y
_atom_site_fract_z
Sm1 Sm 0.0000 0.0000 0.0000
Sm2 Sm 0.2042 0.5000 0.5228
Sm3 Sm 0.2306 0.0000 0.0689
Y1 Y 0.0565 0.5000 0.8328
Y2 Y 0.0726 0.0000 0.3750
Y3 Y 0.1290 0.3080 0.1766
Y4 Y 0.1459 0.1808 0.7339
Sc1 Sc 0.0000 0.3326 0.5000
```

---

The following is a DFT calculation (PBE-GGA) of an optimized crystal structure of Cu2ReGe2.

**Size of the total moment**: 0.000 μB per atom
**Uncorrected energy**: -28.3 eV per formula unit
**Energy relative to the elements**: 0.3066 eV/atom

```
data_Cu2ReGe2
_symmetry_space_group_name_H-M 'P 4/m b m'
_symmetry_Int_Tables_number 127
_symmetry_space_group_name_Hall '-P 4 2ab'
_cell_length_a 6.6593
_cell_length_b 6.6593
_cell_length_c 3.2858
_cell_angle_alpha 90.00
_cell_angle_beta 90.00
_cell_angle_gamma 90.00
loop_
_atom_site_label
_atom_site_type_symbol
_atom_site_fract_x
_atom_site_fract_y
_atom_site_fract_z
Cu1 Cu 0.1425 0.3575 0.0000
Re1 Re 0.0000 0.0000 0.5000
Ge1 Ge 0.1546 0.6546 0.5000
```

---

The following is a DFT calculation (PBE-GGA) of an optimized crystal structure of Pr5MgHg3.

**Size of the total moment**: 0.000 μB per atom
**Uncorrected energy**: -29.1 eV per formula unit
**Energy relative to the elements**: -0.2985 eV/atom

```
data_Pr5MgHg3
_symmetry_space_group_name_H-M 'P 63/m c m'
_symmetry_Int_Tables_number 193
_symmetry_space_group_name_Hall '-P 6c 2'
_cell_length_a 9.4953
_cell_length_b 9.4953
_cell_length_c 6.8915
_cell_angle_alpha 90.00
_cell_angle_beta 90.00
_cell_angle_gamma 120.00
loop_
_atom_site_label
_atom_site_type_symbol
_atom_site_fract_x
_atom_site_fract_y
_atom_site_fract_z
Pr1 Pr 0.0000 0.3092 0.2500
Pr2 Pr 0.3333 0.6667 0.0000
Mg1 Mg 0.0000 0.0000 0.0000
Hg1 Hg 0.0000 0.3523 0.7500
```

---

The following is a DFT calculation (PBE-GGA) of an optimized crystal structure of Mn2ZnGe.

**Size of the total moment**: 1.285 μB per atom
**Uncorrected energy**: -24.0 eV per formula unit
**Energy relative to the elements**: 0.0565 eV/atom

```
data_Mn2ZnGe
_symmetry_space_group_name_H-M 'P 4/m m m'
_symmetry_Int_Tables_number 123
_symmetry_space_group_name_Hall '-P 4 2'
_cell_length_a 3.1246
_cell_length_b 3.1246
_cell_length_c 5.5241
_cell_angle_alpha 90.00
_cell_angle_beta 90.00
_cell_angle_gamma 90.00
loop_
_atom_site_label
_atom_site_type_symbol
_atom_site_fract_x
_atom_site_fract_y
_atom_site_fract_z
Mn1 Mn 0.0000 0.0000 0.2363
Zn1 Zn 0.5000 0.5000 0.5000
Ge1 Ge 0.5000 0.5000 0.0000
```

---

The following is a DFT calculation (PBE-GGA) of an optimized crystal structure of P2Ru2SeN.

**Size of the total moment**: 0.000 μB per atom
**Energy relative to the lowest polymorph listed for this composition**: 0.65 eV/f.u.
**Uncorrected energy**: -41.9 eV per formula unit
**ΔE_f (raw)**: -0.112 eV per atom

```
data_P2Ru2SeN
_symmetry_space_group_name_H-M 'A m m 2'
_symmetry_Int_Tables_number 38
_symmetry_space_group_name_Hall 'A 2 -2'
_cell_length_a 5.7999
_cell_length_b 2.9412
_cell_length_c 14.2555
_cell_angle_alpha 90.00
_cell_angle_beta 90.00
_cell_angle_gamma 90.00
loop_
_atom_site_label
_atom_site_type_symbol
_atom_site_fract_x
_atom_site_fract_y
_atom_site_fract_z
P1 P 0.2297 0.0000 0.0000
Ru1 Ru 0.0000 0.0000 0.4101
Ru2 Ru 0.0000 0.0000 0.5998
Se1 Se 0.0000 0.0000 0.2407
N1 N 0.5000 0.0000 0.0076
```

---

The following is a DFT calculation (PBE-GGA) of an optimized crystal structure of K3Rb4Br3O2.

**Size of the total moment**: 0.000 μB per atom
**Uncorrected energy**: -38.6 eV per formula unit
**ΔE_f (raw)**: -1.376 eV per atom

```
data_K3Rb4Br3O2
_symmetry_space_group_name_H-M 'I m m 2'
_symmetry_Int_Tables_number 44
_symmetry_space_group_name_Hall 'I 2 -2'
_cell_length_a 5.2824
_cell_length_b 28.0750
_cell_length_c 5.5522
_cell_angle_alpha 90.00
_cell_angle_beta 90.00
_cell_angle_gamma 90.00
loop_
_atom_site_label
_atom_site_type_symbol
_atom_site_fract_x
_atom_site_fract_y
_atom_site_fract_z
K1 K 0.0000 0.0000 0.0000
K2 K 0.0000 0.4054 0.5006
Rb1 Rb 0.0000 0.0928 0.5012
Rb2 Rb 0.0000 0.1909 0.0018
Br1 Br 0.0000 0.3183 0.0016
Br2 Br 0.0000 0.5000 0.0040
O1 O 0.0000 0.0949 0.0014
```

---

Copy entry 6 word for word.
The following is a DFT calculation (PBE-GGA) of an optimized crystal structure of K3Rb4Br3O2.

**Size of the total moment**: 0.000 μB per atom
**Uncorrected energy**: -38.6 eV per formula unit
**ΔE_f (raw)**: -1.376 eV per atom

```
data_K3Rb4Br3O2
_symmetry_space_group_name_H-M 'I m m 2'
_symmetry_Int_Tables_number 44
_symmetry_space_group_name_Hall 'I 2 -2'
_cell_length_a 5.2824
_cell_length_b 28.0750
_cell_length_c 5.5522
_cell_angle_alpha 90.00
_cell_angle_beta 90.00
_cell_angle_gamma 90.00
loop_
_atom_site_label
_atom_site_type_symbol
_atom_site_fract_x
_atom_site_fract_y
_atom_site_fract_z
K1 K 0.0000 0.0000 0.0000
K2 K 0.0000 0.4054 0.5006
Rb1 Rb 0.0000 0.0928 0.5012
Rb2 Rb 0.0000 0.1909 0.0018
Br1 Br 0.0000 0.3183 0.0016
Br2 Br 0.0000 0.5000 0.0040
O1 O 0.0000 0.0949 0.0014
```

---

> The highest uncorrected energy belongs to which entry?

Mn2ZnGe